# LaHoIn

A relaxed LaHoIn crystal (PBE-GGA, the Alexandria database).

Computed properties:
- polymorph energy (0 for the lowest one) (eV/atom) = 0.000
- formation energy from the elements (kJ/mol of atoms) = -33.00
- final energy (eV/atom) = -4.423

The structure in POSCAR format:
```
LaHoIn
1.0
5.522 0.000 0.000
-2.761 4.782 0.000
0.000 0.000 6.844
La Ho In
2 2 2
Cartesian
0.000 0.000 0.000
0.000 0.000 3.422
0.000 3.188 1.711
2.761 1.594 5.133
0.000 3.188 5.133
2.761 1.594 1.711
```


# Ge6Se8Br

A relaxed Ge6Se8Br crystal (PBE-GGA, the Alexandria database).

Computed properties:
- final energy (eV/atom) = -3.898

The structure in POSCAR format:
```
Ge6Se8Br
1.0
5.654 3.264 4.010
-5.654 3.264 4.010
0.000 -6.528 4.010
Ge Se Br
6 8 1
Cartesian
-2.034 -0.262 4.417
1.244 -1.630 4.417
-0.790 -1.892 7.612
0.790 1.892 4.417
-1.244 1.630 7.612
2.034 0.262 7.612
-1.574 -2.738 4.954
0.000 0.000 2.778
-3.158 -0.006 7.075
-1.585 2.732 4.954
1.585 -2.732 7.075
3.158 0.006 4.954
0.000 0.000 9.251
1.574 2.738 7.075
0.000 0.000 0.000
```


# YHo2Tl3Te6

A relaxed YHo2Tl3Te6 crystal (PBE-GGA, the Alexandria database).

Computed properties:
- final energy (eV/atom) = -4.518

The structure in POSCAR format:
```
YHo2Tl3Te6
1.0
3.846 -6.662 0.000
3.846 6.662 0.000
-2.565 0.000 8.188
Y Ho Tl Te
1 2 3 6
Cartesian
0.000 0.000 0.000
3.846 2.222 0.000
3.846 -2.222 0.000
2.564 4.448 4.094
2.564 0.000 4.094
2.564 -4.448 4.094
1.288 2.230 1.742
0.010 0.000 6.449
1.288 -2.230 1.742
3.840 2.230 6.446
5.118 0.000 1.739
3.840 -2.230 6.446
```


# VZn2Pb

A relaxed VZn2Pb crystal (PBE-GGA, the Alexandria database).

Computed properties:
- formation energy from the elements (kJ/mol of atoms) = 47.89
- final energy (eV/atom) = -3.347

The structure in POSCAR format:
```
VZn2Pb
1.0
-3.792 3.792 2.738
3.792 -3.792 2.738
3.792 3.792 -2.738
V Zn Pb
2 4 2
Cartesian
0.000 0.000 0.000
0.000 3.792 1.369
5.689 1.693 -0.684
1.693 1.896 0.684
-1.896 2.100 2.053
2.100 1.896 3.422
3.792 0.000 1.369
0.000 0.000 2.738
```


# TiFe2CoNi

A relaxed TiFe2CoNi crystal (PBE-GGA, the Alexandria database).

Computed properties:
- formation energy from the elements (kJ/mol of atoms) = 79.23
- final energy (eV/atom) = -6.720

The structure in POSCAR format:
```
TiFe2CoNi
1.0
4.299 0.000 0.000
0.000 4.299 0.000
0.000 0.000 4.230
Ti Fe Co Ni
1 2 1 1
Cartesian
0.000 0.000 0.000
0.000 2.149 2.115
2.149 0.000 2.115
2.149 2.149 0.000
2.149 2.149 2.115
```


# TbZn9Sn2

A relaxed TbZn9Sn2 crystal (PBE-GGA, the Alexandria database).

Computed properties:
- formation energy from the elements (kJ/mol of atoms) = -8.03
- final energy (eV/atom) = -2.092

The structure in POSCAR format:
```
TbZn9Sn2
1.0
2.753 1.590 8.343
-2.753 1.590 8.343
0.000 -3.179 8.343
Tb Zn Sn
1 9 2
Cartesian
0.000 0.000 0.000
-1.381 -0.798 10.396
0.000 0.000 8.309
0.000 -1.595 14.634
-1.381 0.798 14.634
0.000 0.000 12.515
1.381 -0.798 10.396
0.000 1.595 10.396
0.000 0.000 16.721
1.381 0.798 14.634
0.000 0.000 3.400
0.000 0.000 21.630
```